Record 1
A plane-wave DFT calculation with PBE was carried out for CeSmCu3 after structural relaxation.

Geometry as POSCAR:
```
CeSmCu3
1.0
-0.2998 -0.7130 -3.4619
4.1866 1.0507 -0.5790
3.6438 -12.2953 4.0341
Cu Ce Sm
6 2 2
Direct
0.5230 0.7500 0.0460
0.6162 0.7500 0.2324
0.3838 0.2500 0.7676
0.4770 0.2500 0.9540
0.3328 0.7500 0.6655
0.6672 0.2500 0.3345
0.9294 0.7500 0.8588
0.0706 0.2500 0.1412
0.7967 0.2500 0.5934
0.2033 0.7500 0.4066
```

Calculated values
Total magnetic moment in μB per cell: 1.216
Uncorrected energy in eV per formula unit: -23.71
Energy of formation from the pure elements in meV/atom: -153


Record 2
A plane-wave DFT calculation with PBE was carried out for TaTiNiRh after structural relaxation.

Geometry as POSCAR:
```
TaTiNiRh
1.0
3.1648 0.0000 0.0000
0.0000 3.1648 0.0000
0.0000 0.0000 5.9551
Ta Rh Ni Ti
1 1 1 1
Direct
0.0000 0.0000 0.8248
0.0000 0.0000 0.3555
0.5000 0.5000 0.6188
0.5000 0.5000 0.1289
```

Calculated values
Energy relative to the lowest polymorph listed for this composition in meV/atom: 0
Total magnetic moment in μB per cell: 0.000
Uncorrected energy in eV per formula unit: -34.47
Energy of formation from the pure elements in meV/atom: -397


Record 3
A plane-wave DFT calculation with PBE was carried out for Tb2Pm3Dy7 after structural relaxation.

Geometry as POSCAR:
```
Tb2Pm3Dy7
1.0
-2.4046 0.3797 2.5586
3.0791 -4.2861 3.5299
11.7301 9.7096 9.5828
Dy Pm Tb
7 3 2
Direct
0.5000 0.0577 0.1665
0.5000 0.7547 0.4991
0.0000 0.4374 0.8343
0.0000 0.0000 0.0000
0.5000 0.9423 0.8335
0.5000 0.2453 0.5009
0.0000 0.5626 0.1657
0.0000 0.8887 0.6591
0.0000 0.1113 0.3409
0.5000 0.5000 0.0000
0.5000 0.3837 0.6731
0.5000 0.6163 0.3269
```

Calculated values
Energy relative to the lowest polymorph listed for this composition in meV/atom: 0
Total magnetic moment in μB per cell: 0.000
Uncorrected energy in eV per formula unit: -54.74
Energy of formation from the pure elements in meV/atom: 82